This record from Alexandria via LeMat-Bulk describes an optimized crystal structure of Rb3LiPb2F9. The functional is PBE-GGA.

For the density of states at the Fermi level, the calculation gives 0.29 states/eV per atom. Its raw total energy is -4.450 eV per atom. As for the space-group type: P-3m1 (164). For the energy relative to the elements, uncorrected, the calculation gives -2511 meV per atom.

Cell lengths 6.385, 6.385, 7.997 Å; angles 90.00, 90.00, 120.00 degrees
Element x y z (fractional)
Rb 0.000 0.000 0.000
Rb 0.333 0.667 0.649
Rb 0.667 0.333 0.351
Li 0.000 0.000 0.500
Pb 0.333 0.667 0.187
Pb 0.667 0.333 0.813
F 0.000 0.500 0.000
F 0.161 0.321 0.347
F 0.161 0.839 0.347
F 0.321 0.161 0.653
F 0.500 0.000 0.000
F 0.500 0.500 0.000
F 0.679 0.839 0.347
F 0.839 0.161 0.653
F 0.839 0.679 0.653